[1]
4
Lattice="3.7975 0.0000 0.0000 0.0000 3.7974 0.0000 0.0000 0.0000 3.9461" Properties=species:S:1:pos:R:3 comment="NiMo2Ir (PBE-GGA, relaxed)" total_magnetization_mub_per_atom=0.000 total_energy_ev_per_atom=-9.21 pbc="T T T"
Mo 1.8988 1.8987 0.0000
Mo 0.0000 0.0000 0.0000
Ni 1.8988 0.0000 1.9731
Ir 0.0000 1.8987 1.9731

***

[2]
16
Lattice="5.0631 -0.2883 0.0000 -2.2496 4.5451 0.0000 0.0000 0.0000 8.2316" Properties=species:S:1:pos:R:3 comment="Ni14MoIr (PBE-GGA, relaxed)" total_magnetization_mub_per_atom=0.422 total_energy_ev_per_atom=-6.27 pbc="T T T"
Ni 3.0304 2.5790 2.0191
Ni -0.7357 3.5445 0.0000
Mo 1.7147 1.9249 4.1158
Ni 4.1466 0.3176 2.0274
Ni 0.4965 2.7301 6.1974
Ni 3.0304 2.5790 6.2125
Ni -0.8182 2.0733 4.1158
Ni 0.5854 4.1970 4.1158
Ni 2.9200 1.1283 0.0000
Ni 1.6286 0.4581 2.0191
Ni 0.3868 1.2731 0.0000
Ir -1.9424 4.3421 4.1158
Ni 0.4965 2.7301 2.0343
Ni 1.7940 3.4020 0.0000
Ni 1.6286 0.4581 6.2125
Ni 4.1466 0.3176 6.2042

***

[3]
4
Lattice="3.1972 0.0000 0.0000 0.0000 3.1972 0.0000 0.0000 0.0000 5.6546" Properties=species:S:1:pos:R:3 comment="NiMo2Ir (PBE-GGA, relaxed)" total_magnetization_mub_per_atom=0.000 total_energy_ev_per_atom=-9.05 pbc="T T T"
Mo 1.5986 1.5986 1.5532
Ni 0.0000 0.0000 2.7902
Ir 1.5986 1.5986 4.1650
Mo 0.0000 0.0000 5.6281

***

[4]
5
Lattice="-2.6938 -0.0673 0.1559 -1.4221 -3.5100 -2.7206 -0.9888 -2.6449 5.1378" Properties=species:S:1:pos:R:3 comment="Ni2MoIr2 (PBE-GGA, relaxed)" total_magnetization_mub_per_atom=0.000 total_energy_ev_per_atom=-8.08 pbc="T T T"
Mo 0.0000 0.0000 0.0000
Ni -3.8888 -4.4325 0.9881
Ir -2.6645 -2.6896 -0.4698
Ni -1.2158 -1.7896 1.5851
Ir -2.4401 -3.5326 3.0429

***

[5]
5
Lattice="3.7579 0.0364 0.8691 1.7922 4.3973 0.6213 0.9204 -0.1657 4.5793" Properties=species:S:1:pos:R:3 comment="NiMo2Ir2 (PBE-GGA, relaxed)" total_magnetization_mub_per_atom=0.000 total_energy_ev_per_atom=-9.22 pbc="T T T"
Mo 3.9224 0.4472 4.4104
Mo 2.5482 3.8208 1.6594
Ir 2.4192 1.2519 2.3155
Ir 4.0514 3.0160 3.7542
Ni 0.8961 2.1986 0.3106

***

[6]
4
Lattice="9.1048 -0.0027 -0.0016 8.6931 2.7070 -0.0016 8.6931 1.3209 2.3629" Properties=species:S:1:pos:R:3 comment="NiMo2Ir (PBE-GGA, relaxed)" total_magnetization_mub_per_atom=0.000 total_energy_ev_per_atom=-8.99 pbc="T T T"
Mo 0.1136 0.0173 0.0101
Ir 19.9130 3.0257 1.7738
Mo 6.4779 0.9843 0.5770
Ni 13.2319 2.0106 1.1787

***

[7]
4
Lattice="0.0000 3.0822 3.0822 3.0822 0.0000 3.0822 3.0822 3.0822 0.0000" Properties=species:S:1:pos:R:3 comment="NiMo2Ir (PBE-GGA, relaxed)" total_magnetization_mub_per_atom=0.000 total_energy_ev_per_atom=-8.82 pbc="T T T"
Mo 4.6234 4.6234 4.6234
Ni 0.0000 0.0000 0.0000
Mo 1.5411 1.5411 1.5411
Ir 3.0822 3.0822 3.0822

***

[8]
10
Lattice="7.0433 0.0000 0.0000 0.0000 7.0433 0.0000 0.0000 0.0000 2.7796" Properties=species:S:1:pos:R:3 comment="Ni2MoIr2 (PBE-GGA, relaxed)" total_magnetization_mub_per_atom=0.000 total_energy_ev_per_atom=-7.86 pbc="T T T"
Mo 3.5217 3.5217 0.0000
Ir 4.4374 0.9157 0.0000
Ni 5.8562 2.3346 1.3898
Ni 1.1871 4.7088 1.3898
Ir 0.9157 2.6059 0.0000
Ni 4.7088 5.8562 1.3898
Ir 6.1276 4.4374 0.0000
Mo 0.0000 0.0000 0.0000
Ni 2.3346 1.1871 1.3898
Ir 2.6059 6.1276 0.0000

***

[9]
20
Lattice="-3.2141 -3.7383 0.5232 3.6953 -3.2492 -0.5148 1.7661 0.1358 11.8200" Properties=species:S:1:pos:R:3 comment="NiMoIr3 (PBE-GGA, relaxed)" total_magnetization_mub_per_atom=0.000 total_energy_ev_per_atom=-8.49 pbc="T T T"
Ir 0.2028 -3.4861 11.5721
Mo 0.0374 -0.4361 3.0208
Ni 0.1959 -1.7411 0.5084
Mo 1.1610 -3.8620 8.9350
Mo 1.0862 -2.9898 2.8934
Ir 0.9269 -1.6849 5.4005
Ni 2.7753 -3.3094 5.1484
Ir -1.7698 -2.3377 2.0393
Ir 2.5662 -2.0237 7.4305
Ir 2.0444 -3.3656 0.2563
Ir -0.0487 -1.2950 7.8129
Ni 2.0513 -5.1107 11.3200
Ir -0.6929 -4.8551 1.9073
Mo -1.4855 -3.1665 9.3224
Ir 4.0170 -4.5141 9.7891
Ir -0.3190 -4.8280 4.3978
Ir 1.3203 -5.1669 6.4279
Ni -0.5281 -3.5423 6.6799
Ir 2.9401 -1.9966 9.9211
Ir 2.2959 -5.5567 4.0155

***

[10]
8
Lattice="5.2312 -0.0323 -0.0460 -2.6036 4.5374 0.0460 -2.6036 -1.5003 4.2824" Properties=species:S:1:pos:R:3 comment="Ni5Mo2Ir (PBE-GGA, relaxed)" total_magnetization_mub_per_atom=0.283 total_energy_ev_per_atom=-7.43 pbc="T T T"
Mo -0.1323 3.0960 1.2021
Ni 1.1691 0.8274 1.1792
Mo -0.1323 0.0772 3.3203
Ni -1.4343 2.3461 3.3436
Ni -1.4467 0.8438 1.2025
Ni -2.7482 0.0933 3.3436
Ni -2.7482 3.1125 1.2252
Ir -4.0498 2.3620 3.3663

***

[11]
4
Lattice="0.4674 -1.3574 3.9330 -1.3762 2.3287 3.1957 -3.3422 -1.2313 2.2007" Properties=species:S:1:pos:R:3 comment="Ni2MoIr (PBE-GGA, relaxed)" total_magnetization_mub_per_atom=0.000 total_energy_ev_per_atom=-7.77 pbc="T T T"
Ni -3.1882 -0.1950 6.9971
Mo 0.0000 0.0000 0.0000
Ni -1.0627 -0.0650 2.3324
Ir -2.1255 -0.1300 4.6647

***

[12]
4
Lattice="4.2253 0.0000 0.0000 2.1127 3.6593 0.0000 2.1127 1.2198 3.4500" Properties=species:S:1:pos:R:3 comment="Ni2MoIr (PBE-GGA, relaxed)" total_magnetization_mub_per_atom=0.000 total_energy_ev_per_atom=-7.76 pbc="T T T"
Ni 0.0000 0.0000 0.0000
Ni 2.1127 1.2198 0.8625
Ir 4.2253 2.4395 1.7250
Mo 6.3380 3.6593 2.5875

***

| no. | theoretical density (g cm⁻³) |
| --- | --- |
| 1 | 12.92 |
| 2 | 10.01 |
| 3 | 12.72 |
| 4 | 14.74 |
| 5 | 14.64 |
| 6 | 12.60 |
| 7 | 12.55 |
| 8 | 14.40 |
| 9 | 16.57 |
| 10 | 11.15 |
| 11 | 12.98 |
| 12 | 12.62 |